DFT (GGA+U) results for a relaxed structure of K2MnSn3O8.

Its calculated total energy is -254.5 eV/cell. For the total magnetization, the calculation gives 5.0 μB per formula unit.

The structure belongs to space group R3m (No. 160, hexagonal axes); the cell edges are 6.4503, 6.4503 and 19.7946 Å and the angles 90.00°, 90.00° and 120.00°. The asymmetric unit holds K at (0.0000, 0.0000, 0.0000), K at (0.0000, 0.0000, 0.3537), Mn at (0.0000, 0.0000, 0.5177), Sn at (0.0017, 0.5008, 0.4996), O at (0.0000, 0.0000, 0.2224), O at (0.0000, 0.0000, 0.7769), O at (0.0124, 0.5062, 0.7810) and O at (0.1786, 0.3572, 0.5560).